{
  "formula": "YErCo2Ge2C",
  "functional": "PBE-GGA",
  "state": "optimized geometry",
  "magmom_total_mub_per_atom": 0.0021,
  "spacegroup": "No. 8",
  "dft_energy_ev_per_atom": -6.87,
  "lattice": [[-2.700, 2.870, 4.114], [-2.635, -0.946, 4.961], [6.744, -0.105, -0.988]],
  "species": ["C", "Co", "Co", "Er", "Ge", "Ge", "Y"],
  "fractional_positions": [[0.999, 0.999, 0.996], [0.192, 0.192, 0.082], [0.807, 0.807, 0.917], [0.441, 0.441, 0.709], [0.839, 0.839, 0.300], [0.162, 0.162, 0.702], [0.560, 0.560, 0.293]]
}